Record 1
The following is a PBE-GGA calculation of a geometry-optimized Re2TcAs4 structure, from Alexandria.

Properties
The calculation puts the formation energy at -35 meV/atom. Its space group is Cc. The calculation puts the magnetization at 0.00 Bohr magnetons per cell.

a = 6.692 Å, b = 6.692 Å, c = 7.085 Å
α = 104.59°, β = 104.59°, γ = 117.11°
Element x y z (fractional)
Re  0.129  0.871  0.500
Re  0.435  0.698  0.009
Re  0.698  0.435  0.509
Re  0.871  0.129  0.000
Tc  0.109  0.849  0.903
Tc  0.849  0.109  0.403
As  0.089  0.605  0.145
As  0.151  0.569  0.622
As  0.155  0.206  0.799
As  0.206  0.155  0.299
As  0.569  0.151  0.122
As  0.605  0.089  0.645
As  0.659  0.673  0.317
As  0.673  0.659  0.817

---

Record 2
The following is a PBE-GGA calculation of a geometry-optimized Mg8W structure, from Alexandria.

Properties
The energy above the most stable polymorph in this dataset comes out at 0.007 eV per atom. The calculation puts the formation energy at 242 meV/atom. Its space group is I4/mmm. The calculation puts the magnetization at 0.00 Bohr magnetons per cell.

a = 6.944 Å, b = 6.944 Å, c = 6.944 Å
α = 95.57°, β = 95.57°, γ = 143.70°
Element x y z (fractional)
Mg  0.000  0.322  0.322
Mg  0.000  0.678  0.678
Mg  0.322  0.000  0.322
Mg  0.344  0.344  0.687
Mg  0.344  0.656  0.000
Mg  0.656  0.344  0.000
Mg  0.656  0.656  0.313
Mg  0.678  0.000  0.678
W  0.000  0.000  0.000

---

Record 3
The following is a PBE-GGA calculation of a geometry-optimized Rb4Sm3ErTe8 structure, from Alexandria.

Properties
The total energy comes out at -4.375 eV per atom. Its space group is R-3m. The calculation puts the magnetization at 0.00 Bohr magnetons per cell.

a = 10.063 Å, b = 10.063 Å, c = 10.063 Å
α = 54.11°, β = 54.11°, γ = 54.11°
Element x y z (fractional)
Rb  0.000  0.000  0.000
Rb  0.000  0.500  0.500
Rb  0.500  0.000  0.500
Rb  0.500  0.500  0.000
Sm  0.000  0.000  0.500
Sm  0.000  0.500  0.000
Sm  0.500  0.000  0.000
Er  0.500  0.500  0.500
Te  0.235  0.235  0.235
Te  0.240  0.731  0.731
Te  0.269  0.269  0.760
Te  0.269  0.760  0.269
Te  0.731  0.240  0.731
Te  0.731  0.731  0.240
Te  0.760  0.269  0.269
Te  0.765  0.765  0.765

---

Record 4
The following is a PBE-GGA calculation of a geometry-optimized Tb6In2CO structure, from Alexandria.

Properties
The total energy comes out at -5.747 eV per atom. Its space group is Fm-3m. The calculation puts the magnetization at 0.00 Bohr magnetons per cell.

a = 6.900 Å, b = 6.900 Å, c = 6.900 Å
α = 60.00°, β = 60.00°, γ = 60.00°
Element x y z (fractional)
Tb  0.248  0.248  0.752
Tb  0.248  0.752  0.248
Tb  0.248  0.752  0.752
Tb  0.752  0.248  0.248
Tb  0.752  0.248  0.752
Tb  0.752  0.752  0.248
In  0.250  0.250  0.250
In  0.750  0.750  0.750
C  0.000  0.000  0.000
O  0.500  0.500  0.500

---

Record 5
The following is a PBE-GGA calculation of a geometry-optimized Sm2Tm3Ag2 structure, from Alexandria.

Properties
The calculation puts the formation energy at -91 meV/atom. Its space group is C2/m. The calculation puts the magnetization at 0.00 Bohr magnetons per cell.

a = 5.792 Å, b = 5.792 Å, c = 8.189 Å
α = 111.77°, β = 111.77°, γ = 51.53°
Element x y z (fractional)
Sm  0.117  0.117  0.258
Sm  0.883  0.883  0.742
Tm  0.359  0.359  0.041
Tm  0.500  0.500  0.500
Tm  0.641  0.641  0.959
Ag  0.159  0.159  0.671
Ag  0.841  0.841  0.329

---

Record 6
The following is a PBE-GGA calculation of a geometry-optimized AcTb2Dy structure, from Alexandria.

Properties
The energy above the most stable polymorph in this dataset comes out at 0.126 eV per atom. The calculation puts the formation energy at 180 meV/atom. Its space group is R-3m. The calculation puts the magnetization at 0.00 Bohr magnetons per cell.

a = 12.872 Å, b = 12.872 Å, c = 12.872 Å
α = 16.00°, β = 16.00°, γ = 16.00°
Element x y z (fractional)
Ac  0.000  0.000  0.000
Tb  0.093  0.093  0.093
Tb  0.907  0.907  0.907
Dy  0.500  0.500  0.500